Record 1
Compound: La6PIr2I2
Source: the Alexandria database
Functional: PBE-GGA
Structure: relaxed

Values from the calculation:
Formation energy from raw total energies in kJ/mol of atoms: -97.19

Geometry as extended XYZ:
```
11
Lattice="3.759 -6.389 0.000 3.759 6.389 0.000 -2.371 0.000 7.988" Properties=species:S:1:pos:R:3 pbc="T T T"
La 0.095 2.169 6.456
La 1.165 0.000 1.510
La 0.095 -2.169 6.456
La 5.051 2.169 1.532
La 3.981 0.000 6.478
La 5.051 -2.169 1.532
P 3.759 0.000 0.000
Ir 3.759 4.227 0.000
Ir 3.759 -4.227 0.000
I 2.573 2.097 3.994
I 2.573 -2.097 3.994
```

Record 2
Compound: ZrNb3Ag
Source: the Alexandria database
Functional: PBE-GGA
Structure: relaxed

Values from the calculation:
Energy of formation from the pure elements in eV/atom: 1.6026

Geometry as extended XYZ:
```
5
Lattice="4.927 0.000 0.000 0.000 4.927 0.000 0.000 0.000 4.927" Properties=species:S:1:pos:R:3 pbc="T T T"
Zr 0.000 0.000 0.000
Nb 0.000 2.464 2.464
Nb 2.464 0.000 2.464
Nb 2.464 2.464 0.000
Ag 2.464 2.464 2.464
```

Record 3
Compound: La2AsP
Source: the Alexandria database
Functional: PBE-GGA
Structure: relaxed

Values from the calculation:
Energy of formation from the pure elements in eV/atom: -1.2081

Geometry as extended XYZ:
```
4
Lattice="3.672 0.000 0.000 0.000 3.672 0.000 0.000 0.000 7.443" Properties=species:S:1:pos:R:3 pbc="T T T"
La 0.000 0.000 1.789
La 0.000 0.000 5.654
As 1.836 1.836 3.721
P 1.836 1.836 0.000
```

Record 4
Compound: Pm2Ag2RhO6
Source: the Alexandria database
Functional: PBE-GGA
Structure: relaxed

Values from the calculation:
Formation energy from raw total energies in kJ/mol of atoms: -158.87

Geometry as extended XYZ:
```
11
Lattice="2.965 -5.266 0.000 2.965 5.266 0.000 -1.028 0.000 6.278" Properties=species:S:1:pos:R:3 pbc="T T T"
Pm 2.965 3.561 0.000
Pm 2.965 -3.561 0.000
Ag 2.451 1.508 3.139
Ag 2.451 -1.508 3.139
Rh 2.965 0.000 0.000
O 0.178 0.000 5.292
O 2.120 1.582 1.078
O 2.781 1.582 5.201
O 2.120 -1.582 1.078
O 2.781 -1.582 5.201
O 4.723 0.000 0.987
```

Record 5
Compound: Nd6DyHo3Tm2
Source: the Alexandria database
Functional: PBE-GGA
Structure: relaxed

Values from the calculation:
Energy of formation from the pure elements in eV/atom: 0.0129

Geometry as extended XYZ:
```
12
Lattice="3.126 -5.413 0.000 3.126 5.413 0.000 -2.077 0.000 11.610" Properties=species:S:1:pos:R:3 pbc="T T T"
Nd 0.002 1.806 8.714
Nd 1.044 0.000 2.897
Nd 0.002 -1.806 8.714
Nd 4.173 1.806 2.897
Nd 3.130 0.000 8.714
Nd 4.173 -1.806 2.897
Dy 3.126 0.000 0.000
Ho -1.039 0.000 5.805
Ho 2.087 1.805 5.805
Ho 2.087 -1.805 5.805
Tm 3.126 3.609 0.000
Tm 3.126 -3.609 0.000
```

Record 6
Compound: SnGeBr2
Source: the Alexandria database
Functional: PBE-GGA
Structure: relaxed

Values from the calculation:
Formation energy from raw total energies in kJ/mol of atoms: -10.87

Geometry as extended XYZ:
```
4
Lattice="1.822 1.052 9.983 -1.822 1.052 9.983 0.000 -2.104 9.983" Properties=species:S:1:pos:R:3 pbc="T T T"
Sn 0.000 0.000 0.000
Ge 0.000 0.000 14.975
Br 0.000 0.000 2.943
Br 0.000 0.000 27.007
```

Record 7
Compound: TaMn2Fe
Source: the Alexandria database
Functional: PBE-GGA
Structure: relaxed

Values from the calculation:
Energy of formation from the pure elements in eV/atom: 0.1524

Geometry as extended XYZ:
```
4
Lattice="2.654 0.000 0.000 0.000 2.654 0.000 0.000 0.000 7.421" Properties=species:S:1:pos:R:3 pbc="T T T"
Ta 0.000 0.000 0.000
Mn 1.327 1.327 2.097
Mn 1.327 1.327 5.324
Fe 0.000 0.000 3.711
```

Record 8
Compound: LaZr2Tl
Source: the Alexandria database
Functional: PBE-GGA
Structure: relaxed

Values from the calculation:
Energy of formation from the pure elements in eV/atom: 0.1437

Geometry as extended XYZ:
```
4
Lattice="0.000 3.669 3.669 3.669 0.000 3.669 3.669 3.669 0.000" Properties=species:S:1:pos:R:3 pbc="T T T"
La 0.000 0.000 0.000
Zr 1.835 1.835 1.835
Zr 5.504 5.504 5.504
Tl 3.669 3.669 3.669
```

Record 9
Compound: K2PtC4Br2N4
Source: the Alexandria database
Functional: PBE-GGA
Structure: relaxed

Values from the calculation:
Formation energy from raw total energies in kJ/mol of atoms: -19.12

Geometry as extended XYZ:
```
26
Lattice="7.282 0.000 0.000 0.000 9.593 0.000 -2.633 0.000 8.466" Properties=species:S:1:pos:R:3 pbc="T T T"
K -0.893 2.019 3.227
K -2.209 2.778 7.460
K 6.859 6.815 1.006
K 5.542 7.575 5.239
Pt 3.641 0.000 0.000
Pt 2.325 4.797 4.233
C 1.905 0.420 0.936
C 0.588 4.376 5.169
C 0.122 0.440 6.713
C 1.438 4.357 2.480
C 3.212 5.237 5.986
C 4.528 9.154 1.753
C 4.062 5.217 3.297
C 2.745 9.173 7.530
Br 0.272 7.186 8.188
Br 1.589 7.204 3.955
Br 3.061 2.389 4.512
Br 4.377 2.407 0.278
N 0.880 0.690 1.434
N -0.436 4.107 5.667
N -0.448 0.684 5.720
N 0.868 4.113 1.487
N 3.782 5.481 6.979
N 5.098 8.909 2.746
N 5.086 5.487 2.799
N 3.769 8.903 7.032
```

Record 10
Compound: AlHg2Au8
Source: the Alexandria database
Functional: PBE-GGA
Structure: relaxed

Values from the calculation:
Energy of formation from the pure elements in eV/atom: -0.0398

Geometry as extended XYZ:
```
11
Lattice="4.379 0.000 0.000 -0.063 5.578 0.000 -2.045 -1.417 8.856" Properties=species:S:1:pos:R:3 pbc="T T T"
Al 0.000 0.000 0.000
Hg 0.070 1.341 5.693
Hg 2.202 2.820 3.162
Au 0.004 3.361 1.333
Au 0.059 0.579 2.490
Au 0.010 4.020 4.579
Au 0.080 2.807 8.287
Au 2.192 1.355 0.569
Au 2.262 0.141 4.277
Au 2.213 3.582 6.366
Au 2.268 0.800 7.523
```

| no. | E_tot (eV/atom) |
| --- | --- |
| 1 | -6.080 |
| 2 | -6.719 |
| 3 | -6.187 |
| 4 | -6.402 |
| 5 | -4.644 |
| 6 | -3.104 |
| 7 | -9.511 |
| 8 | -5.954 |
| 9 | -6.489 |
| 10 | -2.818 |